TbIrOs: optimized geometry, PBE.

Results
Formation enthalpy at 0 K = -1.60 eV/f.u.
Total magnetization = 0.00 μB per formula unit
Crystal system = orthorhombic
Polymorph energy (0 for the lowest one) = 1.26 kJ per mole of atoms
N(E_F) = 10.981 states/eV per cell

The structure in CIF format:
```
data_TbIrOs
_chemical_formula_sum 'Tb4 Ir4 Os4'
_cell_length_a 5.178
_cell_length_b 5.461
_cell_length_c 7.740
_cell_angle_alpha 90.00
_cell_angle_beta 90.00
_cell_angle_gamma 90.00
_symmetry_space_group_name_H-M 'P 1'
_symmetry_Int_Tables_number 1
loop_
_symmetry_equiv_pos_as_xyz
'x,y,z'
loop_
_atom_site_label
_atom_site_fract_x
_atom_site_fract_y
_atom_site_fract_z
Tb1 0.000 0.250 0.123
Tb2 0.000 0.750 0.877
Tb3 0.500 0.250 0.377
Tb4 0.500 0.750 0.623
Ir1 0.000 0.000 0.500
Ir2 0.000 0.500 0.500
Ir3 0.500 0.000 0.000
Ir4 0.500 0.500 0.000
Os1 0.250 0.250 0.750
Os2 0.250 0.750 0.250
Os3 0.750 0.250 0.750
Os4 0.750 0.750 0.250
```

Tb4IrOs: optimized geometry, PBE.

Results
Formation enthalpy at 0 K = -2.86 eV/f.u.
Total magnetization = 0.00 μB per formula unit
Crystal system = monoclinic
Polymorph energy (0 for the lowest one) = 0.00 kJ per mole of atoms
N(E_F) = 9.291 states/eV per cell

The structure in CIF format:
```
data_Tb4IrOs
_chemical_formula_sum 'Tb8 Ir2 Os2'
_cell_length_a 7.890
_cell_length_b 7.890
_cell_length_c 6.313
_cell_angle_alpha 108.58
_cell_angle_beta 108.58
_cell_angle_gamma 110.35
_symmetry_space_group_name_H-M 'P 1'
_symmetry_Int_Tables_number 1
loop_
_symmetry_equiv_pos_as_xyz
'x,y,z'
loop_
_atom_site_label
_atom_site_fract_x
_atom_site_fract_y
_atom_site_fract_z
Tb1 0.047 0.696 0.905
Tb2 0.242 0.367 0.734
Tb3 0.304 0.953 0.595
Tb4 0.367 0.242 0.234
Tb5 0.633 0.758 0.766
Tb6 0.696 0.047 0.405
Tb7 0.758 0.633 0.266
Tb8 0.953 0.304 0.095
Ir1 0.365 0.635 0.250
Ir2 0.635 0.365 0.750
Os1 0.000 0.000 0.250
Os2 0.000 0.000 0.750
```

TbIrOs: optimized geometry, PBE.

Results
Formation enthalpy at 0 K = -1.64 eV/f.u.
Total magnetization = 0.00 μB per formula unit
Crystal system = orthorhombic
Polymorph energy (0 for the lowest one) = 0.00 kJ per mole of atoms
N(E_F) = 9.361 states/eV per cell

The structure in CIF format:
```
data_TbIrOs
_chemical_formula_sum 'Tb4 Ir4 Os4'
_cell_length_a 8.919
_cell_length_b 5.302
_cell_length_c 5.302
_cell_angle_alpha 60.55
_cell_angle_beta 90.00
_cell_angle_gamma 90.00
_symmetry_space_group_name_H-M 'P 1'
_symmetry_Int_Tables_number 1
loop_
_symmetry_equiv_pos_as_xyz
'x,y,z'
loop_
_atom_site_label
_atom_site_fract_x
_atom_site_fract_y
_atom_site_fract_z
Tb1 0.181 0.000 0.000
Tb2 0.316 0.333 0.333
Tb3 0.684 0.333 0.333
Tb4 0.819 0.000 0.000
Ir1 0.000 0.010 0.501
Ir2 0.000 0.501 0.010
Ir3 0.249 0.664 0.664
Ir4 0.751 0.664 0.664
Os1 0.000 0.498 0.498
Os2 0.500 0.327 0.837
Os3 0.500 0.837 0.327
Os4 0.500 0.841 0.841
```